# 1
This record from Alexandria describes a relaxed Cr2RuBr crystal. The functional is GGA-PBE.

Results
- total energy (eV per cell) = -26.5
- E_form (uncorrected) (meV/atom) = 933
- crystal system = tetragonal
- ΔE to the lowest computed polymorph (meV per atom) = 464

a = 4.659 Å, b = 4.659 Å, c = 4.659 Å
α = 128.41°, β = 128.41°, γ = 75.96°
Positions (direct):
Cr  0.500  0.500  0.000
Cr  0.000  0.000  0.000
Ru  0.250  0.750  0.500
Br  0.750  0.250  0.500

# 2
This record from Alexandria describes a relaxed PaCr4Re crystal. The functional is GGA-PBE.

Results
- total energy (eV per cell) = -58.9
- crystal system = cubic
- DFT formation energy (eV per atom) = 0.26

a = 4.980 Å, b = 4.980 Å, c = 4.980 Å
α = 60.00°, β = 60.00°, γ = 60.00°
Positions (direct):
Re  0.000  0.000  0.000
Cr  0.625  0.625  0.126
Pa  0.250  0.250  0.250
Cr  0.625  0.126  0.625
Cr  0.126  0.625  0.625
Cr  0.625  0.625  0.625

# 3
This record from Alexandria describes a relaxed NdHoErIn crystal. The functional is GGA-PBE.

Results
- total energy (eV per cell) = -17.0
- crystal system = cubic
- DFT formation energy (eV per atom) = -0.09
- ΔE to the lowest computed polymorph (meV per atom) = 45

a = 5.471 Å, b = 5.471 Å, c = 5.473 Å
α = 119.99°, β = 119.99°, γ = 90.00°
Positions (direct):
Nd  0.750  0.250  0.500
In  0.250  0.750  0.500
Er  0.000  0.000  0.000
Ho  0.500  0.500  0.000

# 4
This record from Alexandria describes a relaxed MnFeCu2 crystal. The functional is GGA-PBE.

Results
- total energy (eV per cell) = -24.9
- crystal system = orthorhombic
- DFT formation energy (eV per atom) = 0.23

a = 2.481 Å, b = 2.481 Å, c = 8.436 Å
α = 90.00°, β = 90.00°, γ = 110.70°
Positions (direct):
Cu  0.000  0.000  0.498
Cu  0.000  0.000  0.002
Fe  0.500  0.500  0.250
Mn  0.500  0.500  0.750

# 5
This record from Alexandria describes a relaxed Nb2AlZnH crystal. The functional is GGA-PBE.

Results
- total energy (eV per cell) = -29.0
- crystal system = tetragonal
- ΔE to the lowest computed polymorph (meV per atom) = 0

a = 4.006 Å, b = 4.006 Å, c = 4.335 Å
α = 90.00°, β = 90.00°, γ = 90.00°
Positions (direct):
H  0.000  0.000  0.000
Nb  0.000  0.500  0.000
Al  0.500  0.500  0.500
Nb  0.500  0.000  0.000
Zn  0.000  0.000  0.500

# 6
This record from Alexandria describes a relaxed ZrSb2Br crystal. The functional is GGA-PBE.

Results
- total energy (eV per cell) = -18.8
- E_form (uncorrected) (meV/atom) = -89
- crystal system = monoclinic
- ΔE to the lowest computed polymorph (meV per atom) = 426

a = 5.929 Å, b = 5.929 Å, c = 3.334 Å
α = 89.93°, β = 89.93°, γ = 121.36°
Positions (direct):
Zr  0.500  0.000  0.500
Sb  0.500  0.500  0.000
Br  0.000  0.500  0.500
Sb  0.000  0.000  0.000